P.
Material: Tb3Pr6Nd2
Method: DFT, PBE-GGA
State: optimized geometry

Results
volume = 38.14 A^3/atom
theoretical density = 6.38 g/cm3

abc: 5.769 5.769 25.212
angles: 90.00 90.00 90.00
Space group I4/mmm (No. 139)
One atom of each set of equivalent atoms:
1 Tb 0.000 0.000 0.000 x2
2 Tb 0.000 0.000 0.164 x4
3 Pr 0.000 0.000 0.301 x4
4 Pr 0.000 0.500 0.097 x8
5 Nd 0.000 0.000 0.442 x4



Q.
Material: Tb3Pr6Nd2
Method: DFT, PBE-GGA
State: optimized geometry

Results
volume = 34.89 A^3/atom
theoretical density = 6.97 g/cm3

abc: 6.354 8.182 8.210
angles: 107.43 97.28 104.92
Space group P-1 (No. 2)
One atom of each set of equivalent atoms:
1 Tb 0.000 0.000 0.000 x1
2 Tb 0.090 0.363 0.819 x2
3 Pr 0.180 0.727 0.636 x2
4 Pr 0.363 0.454 0.269 x2
5 Pr 0.453 0.817 0.090 x2
6 Nd 0.271 0.090 0.453 x2



Energy comparison, zero being the most stable, in eV/atom: P 0.454; Q 0.000.



P.
Material: Tb12PrNd7
Method: DFT, PBE-GGA
State: optimized geometry

Results
volume = 34.34 A^3/atom
theoretical density = 7.39 g/cm3

abc: 12.0898 12.0898 16.2767
angles: 90.00 90.00 120.00
Space group R-3 (No. 148, hexagonal axes)
One atom of each set of equivalent atoms:
1 Tb 0.0210 0.4464 0.2229 x18
2 Tb 0.0502 0.5874 0.5822 x18
3 Pr 0.0000 0.0000 0.5000 x3
4 Nd 0.0000 0.0000 0.0000 x3
5 Nd 0.0543 0.1882 0.2899 x18



Q.
Material: Tb12PrNd7
Method: DFT, PBE-GGA
State: optimized geometry

Results
volume = 37.03 A^3/atom
theoretical density = 6.86 g/cm3

abc: 11.399 11.399 11.399
angles: 90.00 90.00 90.00
Space group Im-3m (No. 229)
One atom of each set of equivalent atoms:
1 Tb 0.000 0.250 0.250 x24
2 Pr 0.000 0.000 0.000 x2
3 Nd 0.000 0.000 0.500 x6
4 Nd 0.250 0.250 0.250 x8



Energy comparison, zero being the most stable, in eV/atom: P 0.000; Q 0.386.